# Y3Ga2Au7

Crystalline Y3Ga2Au7 at its relaxed geometry (GGA-PBE, Alexandria via LeMat-Bulk).

Values from the calculation:
* DOS at the Fermi energy: 5.41 states/eV/f.u.
* magnetic moment: 0.00 μB/atom
* uncorrected energy: -4.611 eV per atom

Cell: 14.534 14.534 14.534 Å, 163.36 163.36 23.61°
Sites, in units of the cell vectors:
Y 0.000 0.000 0.000
Y 0.173 0.173 0.000
Y 0.827 0.827 0.000
Ga 0.366 0.366 0.000
Ga 0.634 0.634 0.000
Au 0.079 0.579 0.500
Au 0.276 0.276 0.000
Au 0.421 0.921 0.500
Au 0.500 0.500 0.000
Au 0.579 0.079 0.500
Au 0.724 0.724 0.000
Au 0.921 0.421 0.500